## Er2FeNi3Ge4 (PBE)

Data for a relaxed structure of Er2FeNi3Ge4.

Computed properties:
Density of states at the Fermi level in states/eV/atom: 0.47
Energy relative to the elements in eV per atom: -0.616

a = 4.0022 Å, b = 4.0022 Å, c = 9.8753 Å
α = 90.00°, β = 90.00°, γ = 90.00°
Sites, in units of the cell vectors:
Er1 0.0000 0.5000 0.2491
Er2 0.5000 0.0000 0.7509
Fe1 0.0000 0.0000 0.5000
Ni1 0.0000 0.5000 0.8679
Ni2 0.5000 0.0000 0.1321
Ni3 0.5000 0.5000 0.5000
Ge1 0.0000 0.0000 0.0000
Ge2 0.0000 0.5000 0.6310
Ge3 0.5000 0.0000 0.3690
Ge4 0.5000 0.5000 0.0000